# 1
Here is an optimized crystal structure of H2SF8 from Alexandria. Energies are from PBE-GGA.

Lattice parameters (Å, degrees): 5.1614 5.6486 5.8472 80.19 63.81 90.00
Closest atoms and distances in Å follow each position.
Atoms (fractional coordinates):
F 0.0499 0.2877 0.9002  1 S 1.61
F 0.9501 0.7123 0.0998  1 S 1.61
F 0.6790 0.0280 0.2068  1 S 1.59
F 0.3210 0.9720 0.7932  1 S 1.59
S 0.0000 0.0000 0.0000  6 F 1.59-1.61
F 0.3219 0.5086 0.3562  1 H 0.94
F 0.1142 0.0280 0.2068  1 S 1.59
H 0.7689 0.5453 0.4622  1 F 0.94
F 0.8858 0.9720 0.7932  1 S 1.59
H 0.2311 0.4547 0.5378  1 F 0.94
F 0.6781 0.4914 0.6438  1 H 0.94

Summary:
- uncorrected energy (eV/atom) = -3.970
- polymorph energy (0 for the lowest one) (meV per atom) = 0



# 2
Here is an optimized crystal structure of CeSnSe2O from Alexandria. Energies are from PBE-GGA.

Lattice parameters (Å, degrees): 4.0105 4.0105 14.3924 90.00 90.00 90.00
Closest atoms and distances in Å follow each position.
Atoms (fractional coordinates):
Ce 0.0000 0.5000 0.4140  4 O 2.36
Se 0.0000 0.5000 0.6842  1 Sn 2.77
O 0.5000 0.5000 0.5000  4 Ce 2.36
Se 0.5000 0.0000 0.3158  1 Sn 2.77
O 0.0000 0.0000 0.5000  4 Ce 2.36
Sn 0.5000 0.0000 0.1235  5 Se 2.77-2.85
Sn 0.0000 0.5000 0.8765  5 Se 2.77-2.85
Ce 0.5000 0.0000 0.5860  4 O 2.36
Se 0.0000 0.5000 0.1057  4 Sn 2.85
Se 0.5000 0.0000 0.8943  4 Sn 2.85

Summary:
- uncorrected energy (eV/atom) = -6.112
- formation energy without anion corrections (meV per atom) = -1739.5



# 3
Here is an optimized crystal structure of Y4CuIr3 from Alexandria. Energies are from PBE-GGA.

Lattice parameters (Å, degrees): 4.9416 6.7232 9.8841 90.00 90.00 90.00
Closest atoms and distances in Å follow each position.
Atoms (fractional coordinates):
Y 0.0001 0.7536 0.2500  6 Ir 2.97-3.00, 2 Cu 3.00, 1 Y 3.31
Ir 0.0000 0.0000 0.0000  8 Y 2.97-2.98
Ir 0.5002 0.5000 0.2500  8 Y 3.00
Y 0.0001 0.2464 0.2500  6 Ir 2.97-3.00, 2 Cu 3.00, 1 Y 3.31
Ir 0.4998 0.0000 0.7500  8 Y 2.97-2.98
Y 0.9999 0.2464 0.7500  6 Ir 2.97-3.00, 2 Cu 3.00, 1 Y 3.31
Cu 0.0000 0.5000 0.5000  8 Y 3.00, 2 Ir 3.36
Y 0.9999 0.7536 0.7500  6 Ir 2.97-3.00, 2 Cu 3.00, 1 Y 3.31
Ir 0.5002 0.0000 0.2500  8 Y 2.97-2.98
Y 0.5000 0.2465 0.5000  6 Ir 2.97-3.00, 2 Cu 3.00, 1 Y 3.31
Y 0.5000 0.2465 0.0000  6 Ir 2.97-3.00, 2 Cu 3.00, 1 Y 3.31
Y 0.5000 0.7535 0.0000  6 Ir 2.97-3.00, 2 Cu 3.00, 1 Y 3.31
Cu 0.0000 0.5000 0.0000  8 Y 3.00, 2 Ir 3.36
Ir 0.4998 0.5000 0.7500  8 Y 3.00
Y 0.5000 0.7535 0.5000  6 Ir 2.97-3.00, 2 Cu 3.00, 1 Y 3.31
Ir 0.0000 0.0000 0.5000  8 Y 2.97-2.98

Summary:
- uncorrected energy (eV/atom) = -7.736



# 4
Here is an optimized crystal structure of AlBiN2O from Alexandria. Energies are from PBE-GGA.

Lattice parameters (Å, degrees): 3.9055 3.9055 3.8053 90.00 90.00 90.00
Closest atoms and distances in Å follow each position.
Atoms (fractional coordinates):
Bi 0.5000 0.5000 0.5000  8 N 2.73, 4 O 2.76
O 0.0000 0.0000 0.5000  2 Al 1.90
N 0.5000 0.0000 0.0000  2 Al 1.95
Al 0.0000 0.0000 0.0000  2 O 1.90, 4 N 1.95
N 0.0000 0.5000 0.0000  2 Al 1.95

Summary:
- uncorrected energy (eV/atom) = -5.968
- formation energy without anion corrections (meV per atom) = -121.7



# 5
Here is an optimized crystal structure of V2Pd5 from Alexandria. Energies are from PBE-GGA.

Lattice parameters (Å, degrees): 4.7493 7.1016 6.6050 94.12 111.07 90.00
Closest atoms and distances in Å follow each position.
Atoms (fractional coordinates):
Pd 0.0442 0.0426 0.7380  4 V 2.64-2.71, 7 Pd 2.73-2.88
Pd 0.3062 0.4574 0.2620  4 V 2.64-2.71, 7 Pd 2.73-2.88
Pd 0.1207 0.6773 0.5735  3 V 2.69-2.71, 9 Pd 2.72-2.88
Pd 0.8793 0.3227 0.4265  3 V 2.69-2.71, 9 Pd 2.72-2.88
V 0.5922 0.8955 0.8433  10 Pd 2.64-2.89, 2 V 2.85-2.94
Pd 0.9558 0.9574 0.2620  4 V 2.64-2.71, 7 Pd 2.73-2.88
Pd 0.6938 0.5426 0.7380  4 V 2.64-2.71, 7 Pd 2.73-2.88
V 0.7490 0.6045 0.1567  10 Pd 2.64-2.89, 2 V 2.85-2.94
Pd 0.1945 0.7500 0.0000  6 V 2.70-2.89, 6 Pd 2.72-2.74
Pd 0.8055 0.2500 0.0000  6 V 2.70-2.89, 6 Pd 2.72-2.74
Pd 0.4528 0.1773 0.5735  3 V 2.69-2.71, 9 Pd 2.72-2.88
V 0.2510 0.3955 0.8433  10 Pd 2.64-2.89, 2 V 2.85-2.94
Pd 0.5472 0.8227 0.4265  3 V 2.69-2.71, 9 Pd 2.72-2.88
V 0.4078 0.1045 0.1567  10 Pd 2.64-2.89, 2 V 2.85-2.94

Summary:
- uncorrected energy (eV/atom) = -6.512
- polymorph energy (0 for the lowest one) (meV per atom) = 0



# 6
Here is an optimized crystal structure of SmY2In from Alexandria. Energies are from PBE-GGA.

Lattice parameters (Å, degrees): 3.6206 3.6206 9.2002 90.00 90.00 90.00
Closest atoms and distances in Å follow each position.
Atoms (fractional coordinates):
Sm 0.5000 0.5000 0.5000  8 Y 3.61, 4 Sm 3.62
In 0.5000 0.5000 0.0000  8 Y 3.28, 4 In 3.62
Y 0.0000 0.0000 0.7774  4 In 3.28, 4 Sm 3.61, 4 Y 3.62
Y 0.0000 0.0000 0.2226  4 In 3.28, 4 Sm 3.61, 4 Y 3.62

Summary:
- uncorrected energy (eV/atom) = -5.350
- polymorph energy (0 for the lowest one) (meV per atom) = 22



Which formula does entry 2 have?
CeSnSe2O



uncorrected energy of number 3 (Y4CuIr3)?
-7.736 eV/atom